A relaxed structure of ZnSeO3, computed with PBE.

abc: 5.1352 5.9998 7.8091
angles: 90.00 90.00 90.00
Fractional positions:
O 0.6799 0.9217 0.7500
Se 0.9849 0.0283 0.2500
O 0.3662 0.3112 0.5782
O 0.3201 0.0783 0.2500
O 0.1338 0.8112 0.9218
O 0.1799 0.5783 0.2500
O 0.8201 0.4217 0.7500
Zn 0.5000 0.0000 0.5000
O 0.8662 0.1888 0.4218
Se 0.4849 0.4717 0.7500
O 0.3662 0.3112 0.9218
O 0.1338 0.8112 0.5782
Se 0.5151 0.5283 0.2500
Zn 0.0000 0.5000 0.0000
O 0.6338 0.6888 0.0782
Zn 0.5000 0.0000 0.0000
O 0.8662 0.1888 0.0782
Se 0.0151 0.9717 0.7500
O 0.6338 0.6888 0.4218
Zn 0.0000 0.5000 0.5000

Calculated values
Theoretical density: 5.31 Mg/m³
DFT total energy: -4.943 eV/atom
Crystal system: orthorhombic
Formation energy (no corrections): -1.02 eV per atom